[1]
# PuSc2Pd3, relaxed, DFT PBE-GGA
# DOS(E_F) (states/eV per cell): 10.5
# Volume (A^3/atom): 19.26
# DFT formation energy (eV/atom): -0.75
data_PuSc2Pd3
_chemical_formula_sum 'Pu1 Sc2 Pd3'
_space_group_name_H-M_alt 'P 4/m m m'
_space_group_IT_number 123
_space_group_name_Hall '-P 4 2'
_cell_length_a 3.302
_cell_length_b 3.302
_cell_length_c 10.595
_cell_angle_alpha 90.00
_cell_angle_beta 90.00
_cell_angle_gamma 90.00
loop_
_atom_site_label
_atom_site_fract_x
_atom_site_fract_y
_atom_site_fract_z
Pu1 0.000 0.000 0.000
Sc1 0.000 0.000 0.340
Pd1 0.500 0.500 0.198
Pd2 0.500 0.500 0.500

=====

[2]
# Pu5ScPd6, relaxed, DFT PBE-GGA
# DOS(E_F) (states/eV per cell): 88.0
# Volume (A^3/atom): 21.08
# DFT formation energy (eV/atom): -0.48
data_Pu5ScPd6
_chemical_formula_sum 'Pu10 Sc2 Pd12'
_space_group_name_H-M_alt 'I m m m'
_space_group_IT_number 71
_space_group_name_Hall '-I 2 2'
_cell_length_a 4.866
_cell_length_b 7.102
_cell_length_c 14.640
_cell_angle_alpha 90.00
_cell_angle_beta 90.00
_cell_angle_gamma 90.00
loop_
_atom_site_label
_atom_site_fract_x
_atom_site_fract_y
_atom_site_fract_z
Pu1 0.000 0.000 0.000
Pu2 0.000 0.000 0.315
Pu3 0.000 0.500 0.343
Sc1 0.000 0.500 0.000
Pd1 0.000 0.209 0.500
Pd2 0.000 0.274 0.154

=====

[3]
# Pu3ScPd4, relaxed, DFT PBE-GGA
# DOS(E_F) (states/eV per cell): 29.9
# Volume (A^3/atom): 20.93
# DFT formation energy (eV/atom): -0.51
data_Pu3ScPd4
_chemical_formula_sum 'Pu3 Sc1 Pd4'
_space_group_name_H-M_alt 'P m m m'
_space_group_IT_number 47
_cell_length_a 3.363
_cell_length_b 4.961
_cell_length_c 10.036
_cell_angle_alpha 90.00
_cell_angle_beta 90.00
_cell_angle_gamma 90.00
loop_
_space_group_symop_operation_xyz
'x,y,z'
'-x,-y,-z'
'-x,-y,z'
'x,y,-z'
'x,-y,-z'
'-x,y,z'
'-x,y,-z'
'x,-y,z'
loop_
_atom_site_label
_atom_site_fract_x
_atom_site_fract_y
_atom_site_fract_z
Pu1 0.000 0.000 0.000
Pu2 0.000 0.500 0.250
Sc1 0.000 0.000 0.500
Pd1 0.500 0.000 0.276
Pd2 0.500 0.500 0.000
Pd3 0.500 0.500 0.500

=====

[4]
# PuScPd, relaxed, DFT PBE-GGA
# DOS(E_F) (states/eV per cell): 16.1
# Volume (A^3/atom): 22.21
# Offset from the most stable computed form (eV per formula unit): 0.118
# DFT formation energy (eV/atom): -0.37
data_PuScPd
_chemical_formula_sum 'Pu2 Sc2 Pd2'
_space_group_name_H-M_alt 'I 4 m m'
_space_group_IT_number 107
_space_group_name_Hall 'I 4 -2'
_cell_length_a 3.350
_cell_length_b 3.350
_cell_length_c 11.876
_cell_angle_alpha 90.00
_cell_angle_beta 90.00
_cell_angle_gamma 90.00
loop_
_atom_site_label
_atom_site_fract_x
_atom_site_fract_y
_atom_site_fract_z
Pu1 0.000 0.000 0.000
Sc1 0.000 0.000 0.291
Pd1 0.000 0.000 0.671

=====

[5]
# PuScPd, relaxed, DFT PBE-GGA
# DOS(E_F) (states/eV per cell): 138.5
# Volume (A^3/atom): 22.40
# Offset from the most stable computed form (eV per formula unit): 0.000
# DFT formation energy (eV/atom): -0.40
data_PuScPd
_chemical_formula_sum 'Pu16 Sc16 Pd16'
_space_group_name_H-M_alt 'F d d d'
_space_group_IT_number 70
_cell_length_a 5.967
_cell_length_b 9.734
_cell_length_c 18.511
_cell_angle_alpha 90.00
_cell_angle_beta 90.00
_cell_angle_gamma 90.00
loop_
_space_group_symop_operation_xyz
'x,y,z'
'-x,-y,-z'
'-x+1/4,-y+1/4,z'
'x+1/4,y+1/4,-z'
'x,-y+1/4,-z+1/4'
'-x,y+1/4,z+1/4'
'-x+1/4,y,-z+1/4'
'x+1/4,-y,z+1/4'
'x,y+1/2,z+1/2'
'-x,-y+1/2,-z+1/2'
'-x+1/4,-y+3/4,z+1/2'
'x+1/4,y+3/4,-z+1/2'
'x,-y+3/4,-z+3/4'
'-x,y+3/4,z+3/4'
'-x+1/4,y+1/2,-z+3/4'
'x+1/4,-y+1/2,z+3/4'
'x+1/2,y,z+1/2'
'-x+1/2,-y,-z+1/2'
'-x+3/4,-y+1/4,z+1/2'
'x+3/4,y+1/4,-z+1/2'
'x+1/2,-y+1/4,-z+3/4'
'-x+1/2,y+1/4,z+3/4'
'-x+3/4,y,-z+3/4'
'x+3/4,-y,z+3/4'
'x+1/2,y+1/2,z'
'-x+1/2,-y+1/2,-z'
'-x+3/4,-y+3/4,z'
'x+3/4,y+3/4,-z'
'x+1/2,-y+3/4,-z+1/4'
'-x+1/2,y+3/4,z+1/4'
'-x+3/4,y+1/2,-z+1/4'
'x+3/4,-y+1/2,z+1/4'
loop_
_atom_site_label
_atom_site_fract_x
_atom_site_fract_y
_atom_site_fract_z
Pu1 0.125 0.125 0.043
Sc1 0.125 0.297 0.625
Pd1 0.125 0.125 0.502

=====

[6]
# PuSc3Pd12, relaxed, DFT PBE-GGA
# DOS(E_F) (states/eV per cell): 25.2
# Volume (A^3/atom): 16.53
# DFT formation energy (eV/atom): -0.77
data_PuSc3Pd12
_chemical_formula_sum 'Pu1 Sc3 Pd12'
_space_group_name_H-M_alt 'P 4/m m m'
_space_group_IT_number 123
_space_group_name_Hall '-P 4 2'
_cell_length_a 4.050
_cell_length_b 4.050
_cell_length_c 16.121
_cell_angle_alpha 90.00
_cell_angle_beta 90.00
_cell_angle_gamma 90.00
loop_
_atom_site_label
_atom_site_fract_x
_atom_site_fract_y
_atom_site_fract_z
Pu1 0.000 0.000 0.000
Sc1 0.000 0.000 0.256
Sc2 0.000 0.000 0.500
Pd1 0.000 0.500 0.131
Pd2 0.000 0.500 0.377
Pd3 0.500 0.500 0.000
Pd4 0.500 0.500 0.254
Pd5 0.500 0.500 0.500

=====

[7]
# PuScTe3Pd, relaxed, DFT PBE-GGA
# DOS(E_F) (states/eV per cell): 24.2
# Volume (A^3/atom): 26.24
# Formation energy without anion corrections (eV/atom): -1.00
data_PuScTe3Pd
_chemical_formula_sum 'Pu2 Sc2 Te6 Pd2'
_space_group_name_H-M_alt 'P 1 21/m 1'
_space_group_IT_number 11
_cell_length_a 7.815
_cell_length_b 4.131
_cell_length_c 10.002
_cell_angle_alpha 90.00
_cell_angle_beta 102.81
_cell_angle_gamma 90.00
loop_
_space_group_symop_operation_xyz
'x,y,z'
'-x,-y,-z'
'-x,y+1/2,-z'
'x,-y+1/2,z'
loop_
_atom_site_label
_atom_site_fract_x
_atom_site_fract_y
_atom_site_fract_z
Pu1 0.210 0.250 0.292
Sc1 0.314 0.750 0.820
Te1 0.070 0.250 0.860
Te2 0.296 0.750 0.533
Te3 0.412 0.750 0.136
Pd1 0.090 0.250 0.593

=====

[8]
# PuScZnPd, relaxed, DFT PBE-GGA
# DOS(E_F) (states/eV per cell): 35.7
# Volume (A^3/atom): 20.68
# DFT formation energy (eV/atom): -0.34
data_PuScZnPd
_chemical_formula_sum 'Pu4 Sc4 Zn4 Pd4'
_space_group_name_H-M_alt 'F -4 3 m'
_space_group_IT_number 216
_space_group_name_Hall 'F -4 2 3'
_cell_length_a 6.916
_cell_length_b 6.916
_cell_length_c 6.916
_cell_angle_alpha 90.00
_cell_angle_beta 90.00
_cell_angle_gamma 90.00
loop_
_atom_site_label
_atom_site_fract_x
_atom_site_fract_y
_atom_site_fract_z
Pu1 0.000 0.000 0.000
Sc1 0.000 0.000 0.500
Zn1 0.250 0.250 0.250
Pd1 0.250 0.250 0.750